Entry w
VASP calculation (GGA-PBE) on a relaxed TaFe2Pt crystal.

Unit cell a=6.0953 b=6.0953 c=6.0953 alpha=90.00 beta=90.00 gamma=90.00
Closest atoms and distances in Å follow each position.
Space group Fm-3m (No. 225)
Symmetry-distinct sites (fractional):
Ta  0.0000  0.0000  0.0000 [4 per cell]  8 Fe 2.64
Fe  0.2500  0.2500  0.2500 [8 per cell]  4 Ta 2.64, 4 Pt 2.64
Pt  0.0000  0.0000  0.5000 [4 per cell]  8 Fe 2.64


Entry x
VASP calculation (GGA-PBE) on a relaxed TaFe2Pt crystal.

Unit cell a=2.7066 b=2.7066 c=7.9371 alpha=90.00 beta=90.00 gamma=90.00
Closest atoms and distances in Å follow each position.
Space group P4/mmm (No. 123)
Symmetry-distinct sites (fractional):
Ta  0.0000  0.0000  0.0000 [1 per cell]  4 Ta 2.71, 8 Fe 2.83
Fe  0.5000  0.5000  0.2630 [2 per cell]  4 Pt 2.68, 4 Fe 2.71, 4 Ta 2.83
Pt  0.0000  0.0000  0.5000 [1 per cell]  8 Fe 2.68, 4 Pt 2.71


Entry y
VASP calculation (GGA-PBE) on a relaxed TaFe2Pt crystal.

Unit cell a=3.1800 b=3.2522 c=5.5480 alpha=90.00 beta=90.00 gamma=90.00
Closest atoms and distances in Å follow each position.
Space group Pmm2 (No. 25)
Symmetry-distinct sites (fractional):
Ta  0.0000  0.0000  0.0000 [1 per cell]  5 Fe 2.57-2.65, 4 Pt 2.74
Fe  0.0000  0.0000  0.5361 [1 per cell]  1 Ta 2.57, 4 Fe 2.57, 4 Pt 2.70
Fe  0.5000  0.5000  0.7536 [1 per cell]  4 Fe 2.57, 4 Ta 2.65, 1 Pt 2.65
Pt  0.5000  0.5000  0.2751 [1 per cell]  6 Fe 2.65-2.89, 4 Ta 2.74


Entry z
VASP calculation (GGA-PBE) on a relaxed TaFe2Pt crystal.

Unit cell a=4.5803 b=2.7909 c=4.7480 alpha=90.00 beta=108.99 gamma=90.00
Closest atoms and distances in Å follow each position.
Space group P2/m (No. 10)
Symmetry-distinct sites (fractional):
Ta  0.0000  0.0000  0.0000 [1 per cell]  6 Fe 2.68-2.71, 4 Pt 2.75, 2 Ta 2.79
Fe  0.5000  0.0000  0.5000 [1 per cell]  4 Pt 2.68, 2 Ta 2.71, 6 Fe 2.75-2.79
Fe  0.5000  0.5000  0.0000 [1 per cell]  4 Ta 2.68, 2 Pt 2.71, 6 Fe 2.75-2.79
Pt  0.0000  0.5000  0.5000 [1 per cell]  6 Fe 2.68-2.71, 4 Ta 2.75, 2 Pt 2.79


Pick entry y: it beats the second-best structure by 72 meV/atom.


Entry w
VASP calculation (GGA-PBE) on a relaxed Ta4FePt crystal.

Unit cell a=7.5444 b=7.5444 c=7.5444 alpha=90.00 beta=90.00 gamma=90.00
Closest atoms and distances in Å follow each position.
Space group F-43m (No. 216)
Symmetry-distinct sites (fractional):
Ta  0.1243  0.1243  0.1243 [16 per cell]  6 Ta 2.65-2.68
Fe  0.2500  0.2500  0.7500 [4 per cell]  12 Ta 3.13, 4 Pt 3.27
Pt  0.0000  0.0000  0.5000 [4 per cell]  12 Ta 3.13, 4 Fe 3.27


Entry x
VASP calculation (GGA-PBE) on a relaxed Ta4FePt crystal.

Unit cell a=6.2516 b=6.2516 c=5.1600 alpha=90.00 beta=90.00 gamma=90.00
Closest atoms and distances in Å follow each position.
Space group P4/mcc (No. 124)
Symmetry-distinct sites (fractional):
Ta  0.1463  0.3279  0.0000 [8 per cell]  2 Fe 2.59, 2 Pt 2.78, 1 Ta 2.82
Fe  0.0000  0.0000  0.2500 [2 per cell]  2 Fe 2.58, 8 Ta 2.59
Pt  0.5000  0.5000  0.2500 [2 per cell]  2 Pt 2.58, 8 Ta 2.78


Pick entry x: it beats the second-best structure by 696 meV/atom.


Entry w
VASP calculation (GGA-PBE) on a relaxed TaFePt4 crystal.

Unit cell a=7.3472 b=7.3472 c=7.3472 alpha=90.00 beta=90.00 gamma=90.00
Closest atoms and distances in Å follow each position.
Space group F-43m (No. 216)
Symmetry-distinct sites (fractional):
Ta  0.0000  0.0000  0.0000 [4 per cell]  12 Pt 3.05, 4 Fe 3.18
Fe  0.2500  0.2500  0.7500 [4 per cell]  12 Pt 3.05, 4 Ta 3.18
Pt  0.1248  0.1248  0.3752 [16 per cell]  6 Pt 2.59-2.60


Entry x
VASP calculation (GGA-PBE) on a relaxed TaFePt4 crystal.

Unit cell a=5.5740 b=6.8421 c=5.5441 alpha=90.00 beta=90.00 gamma=90.00
Closest atoms and distances in Å follow each position.
Space group Pmma (No. 51)
Symmetry-distinct sites (fractional):
Ta  0.2500  0.0000  0.1939 [2 per cell]  8 Pt 2.63-2.68
Fe  0.2500  0.5000  0.6925 [2 per cell]  8 Pt 2.57-2.65
Pt  0.0000  0.2253  0.5000 [4 per cell]  2 Fe 2.57, 2 Ta 2.68, 4 Pt 2.79-2.80
Pt  0.0000  0.2857  0.0000 [4 per cell]  2 Ta 2.63, 2 Fe 2.65, 5 Pt 2.79-2.93


Pick entry x: it beats the second-best structure by 247 meV/atom.